1.
# Cu2NiPt PBE optimized geometry
data_Cu2NiPt
_cell_length_a 4.5596
_cell_length_b 4.5596
_cell_length_c 4.5596
_cell_angle_alpha 132.38
_cell_angle_beta 132.38
_cell_angle_gamma 69.62
_space_group_name_H-M_alt 'P 1'
_space_group_IT_number 1
_space_group_name_Hall 'P 1'
loop_
_atom_site_label
_atom_site_fract_x
_atom_site_fract_y
_atom_site_fract_z
Ni1 0.2500 0.7500 0.5000
Cu1 0.0000 0.0000 0.0000
Cu2 0.5000 0.5000 0.0000
Pt1 0.7500 0.2500 0.5000
# Calculated formation energy: -0.07 eV per atom
# Space-group type: I4/mmm
# D(E_F): 1.53 states/eV/atom

---

2.
# CuNiPt2 PBE optimized geometry
data_CuNiPt2
_cell_length_a 4.6869
_cell_length_b 4.6869
_cell_length_c 4.6869
_cell_angle_alpha 132.47
_cell_angle_beta 132.47
_cell_angle_gamma 69.49
_space_group_name_H-M_alt 'P 1'
_space_group_IT_number 1
_space_group_name_Hall 'P 1'
loop_
_atom_site_label
_atom_site_fract_x
_atom_site_fract_y
_atom_site_fract_z
Ni1 0.7500 0.2500 0.5000
Cu1 0.5000 0.5000 0.0000
Pt1 0.0000 0.0000 0.0000
Pt2 0.2500 0.7500 0.5000
# Calculated formation energy: -0.09 eV per atom
# Space-group type: I-4m2
# D(E_F): 1.05 states/eV/atom

---

3.
# Cu2NiPt PBE optimized geometry
data_Cu2NiPt
_cell_length_a 8.4840
_cell_length_b 8.4840
_cell_length_c 8.4840
_cell_angle_alpha 18.10
_cell_angle_beta 18.10
_cell_angle_gamma 18.10
_space_group_name_H-M_alt 'P 1'
_space_group_IT_number 1
_space_group_name_Hall 'P 1'
loop_
_atom_site_label
_atom_site_fract_x
_atom_site_fract_y
_atom_site_fract_z
Ni1 0.2500 0.2500 0.2500
Cu1 0.9957 0.9957 0.9957
Cu2 0.5043 0.5043 0.5043
Pt1 0.7500 0.7500 0.7500
# Calculated formation energy: -0.05 eV per atom
# Space-group type: R-3m
# D(E_F): 1.33 states/eV/atom

---

4.
# Cu2Ni3Pt2 PBE optimized geometry
data_Cu2Ni3Pt2
_cell_length_a 3.7538
_cell_length_b 4.4992
_cell_length_c 6.8624
_cell_angle_alpha 57.56
_cell_angle_beta 105.87
_cell_angle_gamma 114.66
_space_group_name_H-M_alt 'P 1'
_space_group_IT_number 1
_space_group_name_Hall 'P 1'
loop_
_atom_site_label
_atom_site_fract_x
_atom_site_fract_y
_atom_site_fract_z
Cu1 0.1377 0.8469 0.4285
Cu2 0.8623 0.1531 0.5715
Ni1 0.0000 0.0000 0.0000
Ni2 0.5709 0.4345 0.7074
Ni3 0.4291 0.5655 0.2926
Pt1 0.7113 0.2727 0.1499
Pt2 0.2887 0.7273 0.8501
# Calculated formation energy: -0.05 eV per atom
# Space-group type: C2/m
# D(E_F): 1.61 states/eV/atom